The following is a DFT calculation (PBE) of crystalline K3YB at its relaxed geometry.

Results
**Energy of formation from the pure elements**: 9.37 eV/f.u.
**Density of states at the Fermi level**: 2.89 states/eV per atom
**Excess energy over the best structure of this formula in the dataset**: 0.640 eV per atom

a b c (Å): 7.244 7.244 7.244
angles (deg): 90.00 90.00 90.00
Atoms (fractional coordinates):
Y 0.000 0.000 0.000
K 0.000 0.500 0.000
K 0.000 0.000 0.500
K 0.500 0.000 0.000
B 0.500 0.500 0.500

The following is a DFT calculation (PBE) of crystalline KY3B at its relaxed geometry.

Results
**Energy of formation from the pure elements**: 1.42 eV/f.u.
**Density of states at the Fermi level**: 1.23 states/eV per atom
**Excess energy over the best structure of this formula in the dataset**: 0.000 eV per atom

a b c (Å): 5.310 5.310 5.310
angles (deg): 90.00 90.00 90.00
Atoms (fractional coordinates):
Y 0.000 0.500 0.000
Y 0.000 0.000 0.500
Y 0.500 0.000 0.000
K 0.500 0.500 0.500
B 0.000 0.000 0.000

The following is a DFT calculation (PBE) of crystalline K2YZrB at its relaxed geometry.

Results
**Energy of formation from the pure elements**: 6.78 eV/f.u.
**Density of states at the Fermi level**: 1.05 states/eV per atom

a b c (Å): 6.843 4.237 6.843
angles (deg): 90.00 90.00 90.00
Atoms (fractional coordinates):
Y 0.500 0.500 0.500
K 0.000 0.000 0.500
K 0.500 0.000 0.000
B 0.000 0.500 0.000
Zr 0.000 0.000 0.000

The following is a DFT calculation (PBE) of crystalline KZnB3 at its relaxed geometry.

Results
**Energy of formation from the pure elements**: 8.96 eV/f.u.
**Density of states at the Fermi level**: 0.52 states/eV per atom
**Excess energy over the best structure of this formula in the dataset**: 0.000 eV per atom

a b c (Å): 4.304 4.304 4.304
angles (deg): 90.00 90.00 90.00
Atoms (fractional coordinates):
Zn 0.000 0.000 0.000
B 0.000 0.500 0.000
B 0.000 0.000 0.500
B 0.500 0.000 0.000
K 0.500 0.500 0.500

The following is a DFT calculation (PBE) of crystalline K2ZnB at its relaxed geometry.

Results
**Energy of formation from the pure elements**: 4.23 eV/f.u.
**Density of states at the Fermi level**: 0.95 states/eV per atom
**Excess energy over the best structure of this formula in the dataset**: 0.606 eV per atom

a b c (Å): 5.555 5.555 5.555
angles (deg): 60.00 60.00 60.00
Atoms (fractional coordinates):
Zn 0.500 0.500 0.500
B 0.000 0.000 0.000
K 0.250 0.250 0.250
K 0.750 0.750 0.750

The following is a DFT calculation (PBE) of crystalline K2ZnB at its relaxed geometry.

Results
**Energy of formation from the pure elements**: 1.81 eV/f.u.
**Density of states at the Fermi level**: 0.50 states/eV per atom
**Excess energy over the best structure of this formula in the dataset**: 0.000 eV per atom

a b c (Å): 12.221 12.221 8.869
angles (deg): 46.45 46.45 90.00
Atoms (fractional coordinates):
Zn 0.000 0.000 0.000
Zn 0.750 0.250 0.500
B 0.500 0.500 0.000
B 0.250 0.750 0.500
K 0.417 0.125 0.250
K 0.333 0.625 0.250
K 0.375 0.583 0.750
K 0.875 0.667 0.750

The following is a DFT calculation (PBE) of crystalline KZn3B at its relaxed geometry.

Results
**Energy of formation from the pure elements**: 8.88 eV/f.u.
**Density of states at the Fermi level**: 1.58 states/eV per atom
**Excess energy over the best structure of this formula in the dataset**: 1.310 eV per atom

a b c (Å): 6.343 6.343 6.343
angles (deg): 90.00 90.00 90.00
Atoms (fractional coordinates):
Zn 0.000 0.500 0.000
Zn 0.000 0.000 0.500
Zn 0.500 0.000 0.000
B 0.500 0.500 0.500
K 0.000 0.000 0.000

The following is a DFT calculation (PBE) of crystalline KZn2B at its relaxed geometry.

Results
**Energy of formation from the pure elements**: 0.96 eV/f.u.
**Density of states at the Fermi level**: 0.00 states/eV per atom

a b c (Å): 5.933 5.933 6.925
angles (deg): 64.64 64.64 90.00
Atoms (fractional coordinates):
Zn 0.375 0.125 0.250
Zn 0.375 0.625 0.250
Zn 0.375 0.625 0.750
Zn 0.875 0.625 0.750
B 0.500 0.500 0.000
B 0.250 0.750 0.500
K 0.000 0.000 0.000
K 0.750 0.250 0.500

Look up the density of states at the Fermi level of the second one.
1.23 states/eV per atom

The highest energy of formation from the pure elements belongs to which entry?
K3YB